PBE with a Hubbard U VInTeO6, relaxed; theoretical density = 5.92 g/cm³; total energy = -6.26 eV per atom; total magnetic moment = 4.0 μB per cell; crystal system = trigonal
1.0
5.2233 0.0000 0.0000
-2.6116 4.5235 0.0000
0.0000 0.0000 9.2421
V In Te O
2 2 2 12
Direct
0.3333 0.6667 0.2500
0.6667 0.3333 0.7500
0.0000 0.0000 0.0000
0.0000 0.0000 0.5000
0.3333 0.6667 0.7500
0.6667 0.3333 0.2500
0.0117 0.3589 0.6349
0.0117 0.6528 0.8651
0.3472 0.3589 0.8651
0.3472 0.9883 0.6349
0.3589 0.0117 0.1349
0.3589 0.3472 0.3651
0.6411 0.6528 0.6349
0.6411 0.9883 0.8651
0.6528 0.0117 0.3651
0.6528 0.6411 0.1349
0.9883 0.3472 0.1349
0.9883 0.6411 0.3651